Compound: BaWO4
Source: the Alexandria database
Functional: PBEsol
Structure: optimized geometry

Calculated values
As for the density of states at the Fermi level: 0.00 states/eV/f.u. For the raw formation energy, the calculation gives -2.5364 eV/atom.

POSCAR file:
```
BaWO4
1.0
1.978 -7.214 0.000
1.978 7.214 0.000
0.000 0.000 5.928
Ba W O
2 2 8
Direct
0.142 0.858 0.750
0.858 0.142 0.250
0.405 0.595 0.750
0.595 0.405 0.250
0.082 0.918 0.250
0.318 0.682 0.530
0.318 0.682 0.970
0.500 0.500 0.000
0.500 0.500 0.500
0.682 0.318 0.030
0.682 0.318 0.470
0.918 0.082 0.750
```